(1)
# AlVN3

A relaxed structure of AlVN3 (PBE-GGA, Alexandria via LeMat-Bulk).

extended XYZ file:
```
5
Lattice="3.6924 0.0000 0.0000 0.0000 3.6924 0.0000 0.0000 0.0000 3.6924" Properties=species:S:1:pos:R:3 pbc="T T T"
Al 0.0000 0.0000 0.0000
V 1.8462 1.8462 1.8462
N 0.0000 0.0000 1.8462
N 0.0000 1.8462 0.0000
N 1.8462 0.0000 0.0000
```

Summary:
calculated density	4.0	Mg/m³
D(E_F)	6.03	states/eV/f.u.
formation energy (no corrections)	3.60	eV per formula unit
crystal system	cubic
space-group type	Pm-3m
total DFT energy (no corrections)	-6.847	eV per atom



(2)
# RbNaTaTc2

A relaxed structure of RbNaTaTc2 (PBE-GGA, Alexandria via LeMat-Bulk).

extended XYZ file:
```
5
Lattice="5.0491 0.0000 0.0000 0.0000 5.0491 0.0000 0.0000 0.0000 5.0738" Properties=species:S:1:pos:R:3 pbc="T T T"
Rb 0.0000 0.0000 0.0000
Na 2.5245 2.5245 2.5369
Ta 2.5245 2.5245 0.0000
Tc 0.0000 2.5245 2.5369
Tc 2.5245 0.0000 2.5369
```

Summary:
energy relative to the elements	2.68	eV/atom
calculated density	6.2	Mg/m³
D(E_F)	4.78	states/eV/f.u.
crystal system	tetragonal
space-group type	P4/mmm
total DFT energy (no corrections)	-4.292	eV per atom



(3)
# U2TaRh9

A relaxed structure of U2TaRh9 (PBE-GGA, Alexandria via LeMat-Bulk).

extended XYZ file:
```
12
Lattice="3.9794 0.0000 0.0000 0.0000 3.9794 0.0000 0.0000 0.0000 11.9384" Properties=species:S:1:pos:R:3 pbc="T T T"
U 0.0000 0.0000 2.0233
U 0.0000 0.0000 9.9150
Ta 0.0000 0.0000 5.9692
Rh 0.0000 1.9897 0.0000
Rh 0.0000 1.9897 4.0502
Rh 0.0000 1.9897 7.8881
Rh 1.9897 0.0000 0.0000
Rh 1.9897 0.0000 4.0502
Rh 1.9897 0.0000 7.8881
Rh 1.9897 1.9897 2.0370
Rh 1.9897 1.9897 5.9692
Rh 1.9897 1.9897 9.9014
```

Summary:
energy relative to the elements	-0.63	eV/atom
calculated density	13.9	Mg/m³
D(E_F)	12.49	states/eV/f.u.
crystal system	tetragonal
space-group type	P4/mmm
total DFT energy (no corrections)	-9.017	eV per atom



(4)
# Pr2SbH2

A relaxed structure of Pr2SbH2 (PBE-GGA, Alexandria via LeMat-Bulk).

extended XYZ file:
```
5
Lattice="6.5027 -2.0159 0.0000 6.5027 2.0159 0.0000 -1.2466 0.0000 3.8375" Properties=species:S:1:pos:R:3 pbc="T T T"
Pr 1.6704 0.0000 0.5455
Pr 10.0883 0.0000 3.2920
Sb 5.8793 0.0000 1.9187
H 2.3161 0.0000 2.8772
H 9.4426 0.0000 0.9603
```

Summary:
calculated density	6.7	Mg/m³
D(E_F)	2.15	states/eV/f.u.
crystal system	monoclinic
space-group type	C2/m
total DFT energy (no corrections)	-4.881	eV per atom



(5)
# V2CuNiHg

A relaxed structure of V2CuNiHg (PBE-GGA, Alexandria via LeMat-Bulk).

extended XYZ file:
```
5
Lattice="4.4403 0.0000 0.0000 0.0000 4.4403 0.0000 0.0000 0.0000 4.8107" Properties=species:S:1:pos:R:3 pbc="T T T"
V 0.0000 2.2202 0.0000
V 2.2202 0.0000 0.0000
Cu 0.0000 0.0000 2.4054
Ni 2.2202 2.2202 0.0000
Hg 2.2202 2.2202 2.4054
```

Summary:
energy relative to the elements	0.98	eV/atom
calculated density	7.4	Mg/m³
D(E_F)	6.63	states/eV/f.u.
crystal system	tetragonal
space-group type	P4/mmm
total DFT energy (no corrections)	-4.699	eV per atom



(6)
# Nd2PtAu3

A relaxed structure of Nd2PtAu3 (PBE-GGA, Alexandria via LeMat-Bulk).

extended XYZ file:
```
6
Lattice="3.6613 0.0000 0.0000 0.0000 4.8828 0.0000 0.0000 0.0000 7.8947" Properties=species:S:1:pos:R:3 pbc="T T T"
Nd 0.0000 0.0000 0.0000
Nd 0.0000 2.4414 3.6834
Pt 1.8306 0.0000 2.3945
Au 1.8306 0.0000 5.1240
Au 1.8306 2.4414 1.1724
Au 1.8306 2.4414 6.3356
```

Summary:
energy relative to the elements	-0.80	eV/atom
calculated density	12.6	Mg/m³
D(E_F)	3.34	states/eV/f.u.
crystal system	orthorhombic
space-group type	Pmm2
total DFT energy (no corrections)	-5.035	eV per atom



(7)
# Al2AgF

A relaxed structure of Al2AgF (PBE-GGA, Alexandria via LeMat-Bulk).

extended XYZ file:
```
8
Lattice="-2.3709 2.3709 6.6341 2.3709 -2.3709 6.6341 2.3709 2.3709 -6.6341" Properties=species:S:1:pos:R:3 pbc="T T T"
Al 3.5564 0.6755 -1.6585
Al 0.6755 1.1855 1.6585
Al -1.1855 1.6954 4.9756
Al 1.6954 1.1855 8.2926
Ag 2.3709 0.0000 3.3171
Ag 0.0000 0.0000 6.6341
F 0.0000 0.0000 0.0000
F 0.0000 2.3709 3.3171
```

Summary:
calculated density	4.0	Mg/m³
D(E_F)	1.17	states/eV/f.u.
formation energy (no corrections)	-2.11	eV per formula unit
crystal system	tetragonal
space-group type	I-42d
total DFT energy (no corrections)	-3.579	eV per atom



(8)
# Sc2FeTe

A relaxed structure of Sc2FeTe (PBE-GGA, Alexandria via LeMat-Bulk).

extended XYZ file:
```
4
Lattice="-1.7561 2.1859 5.1849 1.7561 -2.1859 5.1849 1.7561 2.1859 -5.1849" Properties=species:S:1:pos:R:3 pbc="T T T"
Sc 0.0000 0.0000 0.0000
Sc 0.0000 2.1859 2.2451
Fe 0.0000 0.0000 5.1684
Te 1.7561 0.0000 3.0759
```

Summary:
calculated density	5.7	Mg/m³
D(E_F)	4.22	states/eV/f.u.
formation energy (no corrections)	-1.32	eV per formula unit
crystal system	orthorhombic
space-group type	Imm2
total DFT energy (no corrections)	-6.397	eV per atom



(9)
# In3Hg2I3

A relaxed structure of In3Hg2I3 (PBE-GGA, Alexandria via LeMat-Bulk).

extended XYZ file:
```
16
Lattice="2.4178 -7.0692 0.0000 2.4178 7.0692 0.0000 0.0000 0.0000 17.2855" Properties=species:S:1:pos:R:3 pbc="T T T"
In 2.4178 5.9491 9.9289
In 2.4178 5.9491 15.9993
In 2.4178 4.6488 4.3214
In 2.4178 -4.6488 12.9641
In 2.4178 -5.9491 1.2862
In 2.4178 -5.9491 7.3565
Hg 2.4178 3.3216 1.2038
Hg 2.4178 3.3216 7.4389
Hg 2.4178 -3.3216 9.8466
Hg 2.4178 -3.3216 16.0816
I 2.4178 4.9134 12.9641
I 2.4178 0.9438 10.7038
I 2.4178 0.9438 15.2244
I 2.4178 -0.9438 2.0610
I 2.4178 -0.9438 6.5817
I 2.4178 -4.9134 4.3214
```

Summary:
calculated density	6.3	Mg/m³
formation energy (no corrections)	-2.60	eV per formula unit
crystal system	orthorhombic
space-group type	Cmcm
total DFT energy (no corrections)	-2.008	eV per atom



(10)
# LiCrCl2

A relaxed structure of LiCrCl2 (PBE-GGA, Alexandria via LeMat-Bulk).

extended XYZ file:
```
8
Lattice="-2.8478 2.8478 5.6357 2.8478 -2.8478 5.6357 2.8478 2.8478 -5.6357" Properties=species:S:1:pos:R:3 pbc="T T T"
Li 0.0000 0.0000 0.0000
Li 0.0000 2.8478 2.8178
Cr 2.8478 0.0000 2.8178
Cr 0.0000 0.0000 5.6357
Cl 4.2717 1.3069 -1.4089
Cl 1.3069 1.4239 1.4089
Cl -1.4239 1.5409 4.2267
Cl 1.5409 1.4239 7.0446
```

Summary:
calculated density	2.4	Mg/m³
D(E_F)	0.76	states/eV/f.u.
formation energy (no corrections)	-3.65	eV per formula unit
crystal system	tetragonal
space-group type	I-42d
total DFT energy (no corrections)	-4.720	eV per atom



(11)
# PbAuSe2

A relaxed structure of PbAuSe2 (PBE-GGA, Alexandria via LeMat-Bulk).

extended XYZ file:
```
4
Lattice="3.6235 0.0000 0.0000 0.0000 3.6235 0.0000 0.0000 0.0000 7.0770" Properties=species:S:1:pos:R:3 pbc="T T T"
Pb 0.0000 0.0000 0.0000
Au 0.0000 0.0000 3.5385
Se 1.8118 1.8118 1.9362
Se 1.8118 1.8118 5.1408
```

Summary:
calculated density	10.0	Mg/m³
D(E_F)	3.95	states/eV/f.u.
formation energy (no corrections)	0.63	eV per formula unit
crystal system	tetragonal
space-group type	P4/mmm
total DFT energy (no corrections)	-3.331	eV per atom



(12)
# Ca3Al2SbAu9

A relaxed structure of Ca3Al2SbAu9 (PBE-GGA, Alexandria via LeMat-Bulk).

extended XYZ file:
```
15
Lattice="7.9704 0.0000 0.0000 -3.9852 6.9026 0.0000 0.0000 0.0000 6.7354" Properties=species:S:1:pos:R:3 pbc="T T T"
Ca 0.0000 0.0000 0.0000
Ca 0.0000 4.6017 4.4174
Ca 3.9852 2.3009 2.3180
Al 0.0000 4.6017 0.9842
Al 3.9852 2.3009 5.7512
Sb 0.0000 0.0000 3.3677
Au -1.9926 3.4513 0.0000
Au 0.0000 2.3929 2.1064
Au -1.9129 5.7061 2.1064
Au 2.0723 1.1965 4.6290
Au 3.9852 0.0000 0.0000
Au 1.9926 3.4513 0.0000
Au 1.9129 5.7061 2.1064
Au 5.8981 1.1965 4.6290
Au 3.9852 4.5097 4.6290
```

Summary:
calculated density	9.3	Mg/m³
D(E_F)	5.73	states/eV/f.u.
formation energy (no corrections)	-5.32	eV per formula unit
crystal system	trigonal
space-group type	P-3m1
total DFT energy (no corrections)	-3.495	eV per atom